# As2Se (GGA-PBE, optimized geometry)
data_As2Se
_chemical_formula_sum 'As8 Se4'
_space_group_name_H-M_alt 'C m c m'
_space_group_IT_number 63
_space_group_name_Hall '-C 2c 2'
_cell_length_a 3.629
_cell_length_b 22.914
_cell_length_c 3.559
_cell_angle_alpha 90.00
_cell_angle_beta 90.00
_cell_angle_gamma 90.00
loop_
_atom_site_label
_atom_site_type_symbol
_atom_site_fract_x
_atom_site_fract_y
_atom_site_fract_z
As1 As 0.000 0.035 0.250
As2 As 0.000 0.289 0.750
Se1 Se 0.000 0.362 0.250
# * E_tot: -4.103 eV per atom
# * crystal system: orthorhombic
# * excess energy over the best structure of this formula in the dataset: 120 meV per atom
# * formation energy without anion corrections: 0.158 eV per atom

# Ce2DyTh3Sb6 (GGA-PBE, optimized geometry)
data_Ce2DyTh3Sb6
_chemical_formula_sum 'Ce4 Dy2 Th6 Sb12'
_space_group_name_H-M_alt 'C 1 2/m 1'
_space_group_IT_number 12
_cell_length_a 19.545
_cell_length_b 4.484
_cell_length_c 8.973
_cell_angle_alpha 90.00
_cell_angle_beta 103.19
_cell_angle_gamma 90.00
loop_
_space_group_symop_operation_xyz
'x,y,z'
'-x,-y,-z'
'-x,y,-z'
'x,-y,z'
'x+1/2,y+1/2,z'
'-x+1/2,-y+1/2,-z'
'-x+1/2,y+1/2,-z'
'x+1/2,-y+1/2,z'
loop_
_atom_site_label
_atom_site_type_symbol
_atom_site_fract_x
_atom_site_fract_y
_atom_site_fract_z
Ce1 Ce 0.166 0.000 0.332
Dy1 Dy 0.000 0.500 0.000
Th1 Th 0.000 0.500 0.500
Th2 Th 0.168 0.000 0.834
Sb1 Sb 0.000 0.000 0.244
Sb2 Sb 0.164 0.500 0.083
Sb3 Sb 0.167 0.500 0.582
# * E_tot: -6.290 eV per atom
# * crystal system: monoclinic
# * formation energy without anion corrections: -1.001 eV per atom

Question: formation energy without anion corrections of number 2 (Ce2DyTh3Sb6)?
Answer: -1.001 eV per atom